## 1
Here is VP3O9 after structural relaxation from the Alexandria database. Energies are from PBE+U.

Calculated values
- Space group: P2_12_12_1, No. 19

abc: 8.5090 8.5346 9.3616
angles: 90.00 90.00 90.00
Each line ends with the local moment (μB).
Atoms (fractional coordinates):
O1 0.8401 0.1361 0.1709  0.00
O2 0.8473 0.6118 0.0521  0.00
O3 0.2748 0.3489 0.5634  0.00
O4 0.8890 0.6086 0.5852  -0.01
O5 0.5759 0.0878 0.8448  -0.01
O6 0.5386 0.2692 0.3242  0.00
O7 0.1416 0.5439 0.7209  0.00
O8 0.1527 0.1118 0.4479  0.00
O9 0.6110 0.3914 0.0852  -0.01
O10 0.0386 0.2308 0.6758  0.00
O11 0.0759 0.4122 0.1552  -0.01
O12 0.1093 0.8101 0.5985  0.00
O13 0.1110 0.1086 0.9148  -0.01
O14 0.7748 0.1511 0.4366  0.00
O15 0.3907 0.1899 0.0985  0.00
O16 0.8584 0.0439 0.7791  0.00
O17 0.8907 0.3101 0.9015  0.00
O18 0.4241 0.5878 0.6552  -0.01
O19 0.4614 0.7692 0.1758  0.00
O20 0.7252 0.8489 0.9366  0.00
O21 0.6527 0.3882 0.5521  0.00
O22 0.3890 0.8914 0.4148  -0.01
O23 0.1599 0.6361 0.3291  0.00
O24 0.6599 0.8639 0.6709  0.00
O25 0.3401 0.3639 0.8291  0.00
O26 0.2252 0.6511 0.0634  0.00
O27 0.9614 0.7308 0.8242  0.00
O28 0.8015 0.4195 0.3158  0.00
O29 0.3473 0.8882 0.9479  0.00
O30 0.3584 0.4561 0.2209  0.00
O31 0.6416 0.9561 0.2791  0.00
O32 0.6985 0.5805 0.8158  0.00
O33 0.1985 0.9195 0.1842  0.00
O34 0.6093 0.6899 0.4015  0.00
O35 0.9241 0.9122 0.3448  -0.01
O36 0.3015 0.0805 0.6842  0.00
P1 0.3030 0.8215 0.0900  0.01
P2 0.1970 0.1785 0.5900  0.01
P3 0.6901 0.9632 0.8011  0.00
P4 0.8030 0.6785 0.9100  0.01
P5 0.5236 0.8226 0.3305  0.00
P6 0.8099 0.0368 0.3011  0.00
P7 0.0236 0.6774 0.6695  0.00
P8 0.1901 0.5368 0.1989  0.00
P9 0.6970 0.3215 0.4100  0.01
P10 0.3099 0.4632 0.6989  0.00
P11 0.4764 0.3226 0.1695  0.00
P12 0.9764 0.1774 0.8305  0.00
V1 0.8461 0.3748 0.1084  1.91
V2 0.3461 0.1252 0.8916  1.91
V3 0.1539 0.8748 0.3916  1.91
V4 0.6539 0.6252 0.6084  1.91

## 2
Here is VP3O9 after structural relaxation from the Alexandria database. Energies are from PBE+U.

Calculated values
- Space group: Cc, No. 9

abc: 7.4910 7.4910 9.6315
angles: 57.44 57.44 51.97
Each line ends with the local moment (μB).
Atoms (fractional coordinates):
P1 0.4932 0.2910 0.5694  0.01
P2 0.0538 0.9402 0.1577  0.00
P3 0.9402 0.0538 0.6577  0.00
P4 0.5253 0.7000 0.2209  0.00
P5 0.7000 0.5253 0.7209  0.00
P6 0.2910 0.4932 0.0694  0.01
O1 0.0802 0.1450 0.9992  0.00
O2 0.6764 0.6202 0.0624  -0.01
O3 0.4113 0.3338 0.2069  -0.01
O4 0.1634 0.4090 0.0582  0.00
O5 0.3338 0.4113 0.7069  -0.01
O6 0.1450 0.0802 0.4992  0.00
O7 0.9871 0.8209 0.8000  0.00
O8 0.4090 0.1634 0.5582  0.00
O9 0.8209 0.9871 0.3000  0.00
O10 0.8066 0.2493 0.7496  0.00
O11 0.7488 0.1043 0.5966  0.00
O12 0.4695 0.5661 0.8859  0.00
O13 0.5661 0.4695 0.3859  0.00
O14 0.6202 0.6764 0.5624  -0.01
O15 0.1043 0.7488 0.0966  0.00
O16 0.8697 0.5592 0.7311  0.00
O17 0.5592 0.8697 0.2311  0.00
O18 0.2493 0.8066 0.2496  0.00
V1 0.0127 0.4930 0.8951  1.90
V2 0.4930 0.0127 0.3951  1.90

Tell me which of them is the least stable. Sure, it is 1.

## 1
Here is V2PO6 after structural relaxation from the Alexandria database. Energies are from PBE+U.

Calculated values
- Space group: P4_2/mnm, No. 136

abc: 4.4931 4.4931 8.2443
angles: 90.00 90.00 90.00
Each line ends with the local moment (μB).
Atoms (fractional coordinates):
O1 0.2304 0.7696 0.5000  0.01
O2 0.8151 0.1849 0.8479  -0.03
O3 0.2696 0.2696 0.0000  0.01
O4 0.7696 0.2304 0.5000  0.01
O5 0.1849 0.8151 0.1521  -0.03
O6 0.6849 0.6849 0.6521  -0.03
O7 0.7304 0.7304 0.0000  0.01
O8 0.8151 0.1849 0.1521  -0.03
O9 0.6849 0.6849 0.3479  -0.03
O10 0.3151 0.3151 0.3479  -0.03
O11 0.1849 0.8151 0.8479  -0.03
O12 0.3151 0.3151 0.6521  -0.03
P1 0.0000 0.0000 0.0000  0.01
P2 0.5000 0.5000 0.5000  0.01
V1 0.0000 0.0000 0.3494  0.51
V2 0.5000 0.5000 0.1506  0.51
V3 0.5000 0.5000 0.8494  0.51
V4 0.0000 0.0000 0.6506  0.51

## 2
Here is V2PO6 after structural relaxation from the Alexandria database. Energies are from PBE+U.

Calculated values
- Space group: C2/c, No. 15

abc: 4.0921 7.5487 7.5487
angles: 107.45 103.91 103.91
Each line ends with the local moment (μB).
Atoms (fractional coordinates):
O1 0.1736 0.2265 0.0196  -0.02
O2 0.6026 0.6887 0.5459  -0.05
O3 0.9289 0.1555 0.6494  -0.05
O4 0.8974 0.4541 0.3113  -0.05
O5 0.3974 0.3113 0.4541  -0.05
O6 0.6736 0.0196 0.2265  -0.02
O7 0.5711 0.3506 0.8445  -0.05
O8 0.4289 0.6494 0.1555  -0.05
O9 0.3264 0.9804 0.7735  -0.02
O10 0.1026 0.5459 0.6887  -0.05
O11 0.8264 0.7735 0.9804  -0.02
O12 0.0711 0.8445 0.3506  -0.05
P1 0.7500 0.8235 0.1765  0.01
P2 0.2500 0.1765 0.8235  0.01
V1 0.3786 0.4518 0.2651  1.54
V2 0.8786 0.2651 0.4518  1.54
V3 0.6214 0.5482 0.7349  1.54
V4 0.1214 0.7349 0.5482  1.54

Tell me which of them is the least stable. Sure, it is 1.

## 1
Here is V3P6O20 after structural relaxation from the Alexandria database. Energies are from PBE+U.

Calculated values
- Space group: C222_1, No. 20

abc: 8.4673 8.4673 12.3973
angles: 90.00 90.00 105.37
Each line ends with the local moment (μB).
Atoms (fractional coordinates):
O1 0.6459 0.9628 0.0575  0.00
O2 0.2627 0.9978 0.2079  0.00
O3 0.2768 0.2652 0.1184  -0.01
O4 0.4741 0.7795 0.2006  -0.01
O5 0.1565 0.6905 0.0990  -0.01
O6 0.2205 0.1872 0.6851  0.00
O7 0.3541 0.0372 0.5575  0.00
O8 0.9978 0.2627 0.7921  0.00
O9 0.7795 0.8128 0.1851  0.00
O10 0.2652 0.2768 0.8816  -0.01
O11 0.0500 0.6798 0.7453  -0.01
O12 0.8482 0.0720 0.4719  0.00
O13 0.2668 0.6959 0.9080  -0.01
O14 0.6959 0.2668 0.0920  -0.01
O15 0.7348 0.7232 0.3816  -0.01
O16 0.1518 0.9280 0.9719  0.00
O17 0.3041 0.7332 0.5920  -0.01
O18 0.3095 0.8435 0.4010  -0.01
O19 0.0022 0.7373 0.2921  0.00
O20 0.9628 0.6459 0.9425  0.00
O21 0.2205 0.5259 0.2994  -0.01
O22 0.4805 0.2556 0.2674  -0.01
O23 0.1872 0.2205 0.3149  0.00
O24 0.0372 0.3541 0.4425  0.00
O25 0.7332 0.3041 0.4080  -0.01
O26 0.6798 0.0500 0.2547  -0.01
O27 0.9500 0.3202 0.2453  -0.01
O28 0.5195 0.7444 0.7674  -0.01
O29 0.2556 0.4805 0.7326  -0.01
O30 0.3202 0.9500 0.7547  -0.01
O31 0.7795 0.4741 0.7994  -0.01
O32 0.7373 0.0022 0.7079  0.00
O33 0.7444 0.5195 0.2326  -0.01
O34 0.0720 0.8482 0.5281  0.00
O35 0.9280 0.1518 0.0281  0.00
O36 0.5259 0.2205 0.7006  -0.01
O37 0.7232 0.7348 0.6184  -0.01
O38 0.6905 0.1565 0.9010  -0.01
O39 0.8435 0.3095 0.5990  -0.01
O40 0.8128 0.7795 0.8149  0.00
P1 0.1804 0.3090 0.7769  0.01
P2 0.9013 0.6344 0.8200  0.00
P3 0.3656 0.0987 0.6800  0.00
P4 0.7466 0.1463 0.0153  0.01
P5 0.2534 0.8537 0.5153  0.01
P6 0.8196 0.6910 0.2769  0.01
P7 0.0987 0.3656 0.3200  0.00
P8 0.3090 0.1804 0.2231  0.01
P9 0.6344 0.9013 0.1800  0.00
P10 0.6910 0.8196 0.7231  0.01
P11 0.8537 0.2534 0.4847  0.01
P12 0.1463 0.7466 0.9847  0.01
V1 0.2392 0.7608 0.2500  1.92
V2 0.7608 0.2392 0.7500  1.92
V3 0.1489 0.1489 0.0000  1.87
V4 0.7123 0.2877 0.2500  1.05
V5 0.2877 0.7123 0.7500  1.05
V6 0.8511 0.8511 0.5000  1.87

## 2
Here is V3P6O20 after structural relaxation from the Alexandria database. Energies are from PBE+U.

Calculated values
- Space group: Aea2, No. 41

abc: 8.5600 8.5600 12.6960
angles: 90.00 90.00 107.70
Each line ends with the local moment (μB).
Atoms (fractional coordinates):
O1 0.7223 0.0848 0.8118  -0.03
O2 0.5688 0.8395 0.9174  0.00
O3 0.7914 0.2696 0.1376  -0.01
O4 0.3358 0.0245 0.2178  -0.01
O5 0.5848 0.2223 0.3118  -0.03
O6 0.8395 0.5688 0.0826  0.00
O7 0.2729 0.1998 0.8862  -0.01
O8 0.5574 0.8448 0.2255  -0.04
O9 0.5465 0.3186 0.7993  -0.01
O10 0.7938 0.8250 0.7985  -0.01
O11 0.8590 0.0618 0.5594  0.00
O12 0.6998 0.7729 0.3862  -0.01
O13 0.7696 0.2914 0.6376  -0.01
O14 0.2938 0.3250 0.7015  -0.01
O15 0.5245 0.8358 0.7178  -0.01
O16 0.7729 0.6998 0.6138  -0.01
O17 0.3250 0.2938 0.2985  -0.01
O18 0.0245 0.3358 0.7822  -0.01
O19 0.3395 0.0688 0.4174  0.00
O20 0.0618 0.8590 0.4406  0.00
O21 0.5618 0.3590 0.0594  0.00
O22 0.0574 0.3448 0.2745  -0.04
O23 0.0465 0.8186 0.7007  -0.01
O24 0.0688 0.3395 0.5826  0.00
O25 0.2914 0.7696 0.3624  -0.01
O26 0.3590 0.5618 0.9406  0.00
O27 0.3186 0.5465 0.2007  -0.01
O28 0.8186 0.0465 0.2993  -0.01
O29 0.8086 0.3518 0.9465  -0.01
O30 0.8250 0.7938 0.2015  -0.01
O31 0.1998 0.2729 0.1138  -0.01
O32 0.8448 0.5574 0.7745  -0.04
O33 0.2223 0.5848 0.6882  -0.03
O34 0.3448 0.0574 0.7255  -0.04
O35 0.8358 0.5245 0.2822  -0.01
O36 0.8518 0.3086 0.4465  -0.01
O37 0.2696 0.7914 0.8624  -0.01
O38 0.3518 0.8086 0.0535  -0.01
O39 0.0848 0.7223 0.1882  -0.03
O40 0.3086 0.8518 0.5535  -0.01
P1 0.4015 0.1471 0.3047  0.00
P2 0.3764 0.7456 0.9459  0.01
P3 0.7190 0.8690 0.2819  0.01
P4 0.2456 0.8764 0.4459  0.01
P5 0.1471 0.4015 0.6953  0.00
P6 0.8690 0.7190 0.7181  0.01
P7 0.8764 0.2456 0.5541  0.01
P8 0.9015 0.6471 0.1953  0.00
P9 0.7456 0.3764 0.0541  0.01
P10 0.2190 0.3690 0.2181  0.01
P11 0.3690 0.2190 0.7819  0.01
P12 0.6471 0.9015 0.8047  0.00
V1 0.8225 0.2835 0.2918  1.53
V2 0.3548 0.3548 0.0000  1.90
V3 0.8548 0.8548 0.5000  1.90
V4 0.7835 0.3225 0.7918  1.53
V5 0.2835 0.8225 0.7082  1.53
V6 0.3225 0.7835 0.2082  1.53

Tell me which of them is the least stable. Sure, it is 2.

## 1
Here is VP2WO after structural relaxation from the Alexandria database. Energies are from PBE+U.

Calculated values
- Space group: P4/mmm, No. 123

abc: 4.8022 4.8022 3.5811
angles: 90.00 90.00 90.00
Each line ends with the local moment (μB).
Atoms (fractional coordinates):
O1 0.0000 0.0000 0.5000  -0.08
W1 0.5000 0.5000 0.5000  2.92
P1 0.0000 0.5000 0.0000  -0.19
P2 0.5000 0.0000 0.0000  -0.19
V1 0.0000 0.0000 0.0000  0.88

## 2
Here is VP2WO after structural relaxation from the Alexandria database. Energies are from PBE+U.

Calculated values
- Space group: P4/mmm, No. 123

abc: 4.9068 4.9068 3.7925
angles: 90.00 90.00 90.00
Each line ends with the local moment (μB).
Atoms (fractional coordinates):
P1 0.0000 0.5000 0.0000  -0.12
P2 0.5000 0.0000 0.0000  -0.12
V1 0.5000 0.5000 0.5000  2.73
W1 0.0000 0.0000 0.0000  0.85
O1 0.0000 0.0000 0.5000  -0.05

Tell me which of them is the least stable. Sure, it is 1.

## 1
Here is VPWO2 after structural relaxation from the Alexandria database. Energies are from PBE+U.

Calculated values
- Space group: P4/mmm, No. 123

abc: 3.7030 3.7030 5.4034
angles: 90.00 90.00 90.00
Each line ends with the local moment (μB).
Atoms (fractional coordinates):
V1 0.0000 0.0000 0.0000  1.15
O1 0.0000 0.5000 0.0000  -0.12
O2 0.5000 0.0000 0.0000  -0.12
P1 0.0000 0.0000 0.5000  -0.17
W1 0.5000 0.5000 0.5000  2.85

## 2
Here is VPWO2 after structural relaxation from the Alexandria database. Energies are from PBE+U.

Calculated values
- Space group: P4/mmm, No. 123

abc: 3.8444 3.8444 5.3885
angles: 90.00 90.00 90.00
Each line ends with the local moment (μB).
Atoms (fractional coordinates):
O1 0.5000 0.0000 0.0000  -0.08
O2 0.0000 0.5000 0.0000  -0.08
V1 0.5000 0.5000 0.5000  2.76
W1 0.0000 0.0000 0.0000  1.21
P1 0.0000 0.0000 0.5000  -0.17

Tell me which of them is the least stable. Sure, it is 1.

## 1
Here is VZnP2O after structural relaxation from the Alexandria database. Energies are from PBE+U.

Calculated values
- Space group: P4/mmm, No. 123

abc: 4.7474 4.7474 3.6051
angles: 90.00 90.00 90.00
Atoms (fractional coordinates):
P1 0.0000 0.5000 0.0000
P2 0.5000 0.0000 0.0000
V1 0.0000 0.0000 0.0000
O1 0.0000 0.0000 0.5000
Zn1 0.5000 0.5000 0.5000

## 2
Here is VZnP2O after structural relaxation from the Alexandria database. Energies are from PBE+U.

Calculated values
- Space group: P4/mmm, No. 123

abc: 4.7178 4.7178 3.6365
angles: 90.00 90.00 90.00
Each line ends with the local moment (μB).
Atoms (fractional coordinates):
P1 0.0000 0.5000 0.0000  0.01
P2 0.5000 0.0000 0.0000  0.01
Zn1 0.0000 0.0000 0.0000  -0.01
O1 0.0000 0.0000 0.5000  0.02
V1 0.5000 0.5000 0.5000  -0.49

Tell me which of them is the least stable. Sure, it is 2.

## 1
Here is ZrVPO2 after structural relaxation from the Alexandria database. Energies are from PBE+U.

Calculated values
- Space group: P4/mmm, No. 123

abc: 3.7767 3.7767 5.0071
angles: 90.00 90.00 90.00
Each line ends with the local moment (μB).
Atoms (fractional coordinates):
Zr1 0.5000 0.5000 0.5000  0.09
P1 0.0000 0.0000 0.5000  -0.03
V1 0.0000 0.0000 0.0000  1.38
O1 0.0000 0.5000 0.0000  -0.06
O2 0.5000 0.0000 0.0000  -0.06

## 2
Here is ZrVPO2 after structural relaxation from the Alexandria database. Energies are from PBE+U.

Calculated values
- Space group: P4/mmm, No. 123

abc: 4.0398 4.0398 5.4920
angles: 90.00 90.00 90.00
Each line ends with the local moment (μB).
Atoms (fractional coordinates):
Zr1 0.0000 0.0000 0.0000  0.02
O1 0.0000 0.5000 0.0000  -0.10
O2 0.5000 0.0000 0.0000  -0.10
P1 0.0000 0.0000 0.5000  -0.16
V1 0.5000 0.5000 0.5000  2.69

Tell me which of them is the least stable. Sure, it is 2.

## 1
Here is P2WO2 after structural relaxation from the Alexandria database. Energies are from PBE+U.

Calculated values
- Space group: P4/mmm, No. 123

abc: 3.6248 3.6248 5.0085
angles: 90.00 90.00 90.00
Each line ends with the local moment (μB).
Atoms (fractional coordinates):
O1 0.0000 0.0000 0.0000  -0.06
O2 0.0000 0.0000 0.5000  -0.05
P1 0.5000 0.0000 0.0000  -0.17
P2 0.0000 0.5000 0.0000  -0.17
W1 0.5000 0.5000 0.5000  2.44

## 2
Here is P2WO2 after structural relaxation from the Alexandria database. Energies are from PBE+U.

Calculated values
- Space group: P4/mmm, No. 123

abc: 4.7652 4.7652 3.8000
angles: 90.00 90.00 90.00
Atoms (fractional coordinates):
P1 0.5000 0.0000 0.0000
P2 0.0000 0.5000 0.0000
O1 0.0000 0.0000 0.5000
O2 0.5000 0.5000 0.5000
W1 0.0000 0.0000 0.0000

Tell me which of them is the least stable. Sure, it is 1.